Record 1
{"formula": "CuTcSnCl2", "functional": "PBEsol", "state": "relaxed", "spacegroup": "P4/mmm (123)", "final_energy_ev_per_atom": -4.103, "lattice_angstrom": [[-2.054, -3.786, 0.815], [3.661, -1.597, 1.807], [-1.655, 2.001, 5.121]], "species": ["Cl", "Cl", "Sn", "Cu", "Tc"], "frac_coords": [[0.000, 0.500, 0.000], [0.500, 0.000, 0.000], [0.000, 0.000, 0.500], [0.000, 0.000, 0.000], [0.500, 0.500, 0.500]]}


Record 2
{"formula": "SrCuBi2O", "functional": "PBEsol", "state": "relaxed", "spacegroup": "P4/mmm (123)", "final_energy_ev_per_atom": -4.473, "lattice_angstrom": [[4.808, 0.000, 0.000], [0.000, 4.882, 0.000], [0.000, 0.000, 4.882]], "species": ["O", "Sr", "Bi", "Bi", "Cu"], "frac_coords": [[0.000, 0.000, 0.000], [0.500, 0.000, 0.000], [0.000, 0.000, 0.500], [0.000, 0.500, 0.000], [0.500, 0.500, 0.500]]}


Record 3
{"formula": "Ba2AgP", "functional": "PBEsol", "state": "relaxed", "spacegroup": "Imm2 (44)", "final_energy_ev_per_atom": -3.850, "delta_e_f_mev_per_atom": -500, "lattice_angstrom": [[-1.412, 3.052, -2.531], [2.802, -1.577, -3.465], [-5.056, -4.326, 1.104]], "species": ["Ag", "Ba", "Ba", "P"], "frac_coords": [[0.195, 0.695, 0.389], [0.984, 0.984, 0.969], [0.762, 0.262, 0.524], [0.559, 0.559, 0.118]]}


Record 4
{"formula": "RbAlB2", "functional": "PBEsol", "state": "relaxed", "spacegroup": "I4_1/amd (141)", "final_energy_ev_per_atom": -3.707, "delta_e_f_mev_per_atom": 1080, "lattice_angstrom": [[4.643, 0.000, 0.000], [0.000, 4.643, 0.000], [-2.322, -2.322, 7.204]], "species": ["B", "B", "B", "B", "Al", "Al", "Rb", "Rb"], "frac_coords": [[0.625, 0.375, 0.750], [0.125, 0.375, 0.750], [0.625, 0.875, 0.250], [0.625, 0.375, 0.250], [0.500, 0.500, 0.000], [0.750, 0.250, 0.500], [0.000, 0.000, 0.000], [0.250, 0.750, 0.500]]}


Record 5
{"formula": "AlGaPb2F", "functional": "PBEsol", "state": "relaxed", "spacegroup": "P4/mmm (123)", "final_energy_ev_per_atom": -3.801, "lattice_angstrom": [[-2.192, -2.659, -1.490], [-0.682, -2.245, 5.008], [-4.438, 3.194, 0.827]], "species": ["Pb", "Pb", "Al", "Ga", "F"], "frac_coords": [[0.000, 0.000, 0.500], [0.000, 0.500, 0.000], [0.500, 0.000, 0.000], [0.500, 0.500, 0.500], [0.000, 0.000, 0.000]]}


Record 6
{"formula": "Zr2RuSe", "functional": "PBEsol", "state": "relaxed", "spacegroup": "P4/mmm (123)", "final_energy_ev_per_atom": -8.769, "lattice_angstrom": [[3.202, 0.000, 0.000], [0.000, 3.202, 0.000], [0.000, 0.000, 6.949]], "species": ["Ru", "Se", "Zr", "Zr"], "frac_coords": [[0.500, 0.500, 0.000], [0.500, 0.500, 0.500], [0.000, 0.000, 0.762], [0.000, 0.000, 0.238]]}